# 1
First-principles (GGA-PBE) data for an optimized crystal structure of LiZnNO, as listed in OQMD.

a b c (Å): 3.0500 5.7250 5.1708
angles (deg): 90.00 90.00 90.00
With the nearest neighbours (Å) after each atom.
Space group Pmc2_1 (No. 26)
Asymmetric unit:
Li  0.0000  0.1464  0.0000 [2 per cell]  2 O 1.87-1.88, 2 N 2.10
Zn  0.5000  0.3260  0.4840 [2 per cell]  2 O 1.91, 2 N 1.91-1.93
N  0.5000  0.3609  0.8544 [2 per cell]  2 Zn 1.91-1.93, 2 Li 2.10
O  0.0000  0.1573  0.3642 [2 per cell]  2 Li 1.87-1.88, 2 Zn 1.91

Properties
ρ   3.76 g cm⁻³
Energy above the lowest structure with this stoichiometry   0.144 eV per atom
Total energy   -34.05 eV/cell

---

# 2
First-principles (GGA-PBE) data for an optimized crystal structure of Dy2Ag2TeSe3, as listed in OQMD.

a b c (Å): 9.8527 9.4948 4.3853
angles (deg): 90.00 90.79 90.00
With the nearest neighbours (Å) after each atom.
Space group Cm (No. 8)
Asymmetric unit:
Dy  0.0000  0.0000  0.0000 [2 per cell]  5 Se 2.84-2.97, 1 Te 3.04
Dy  0.0232  0.5000  0.3968 [2 per cell]  4 Se 2.84-2.93, 2 Te 3.06-3.08
Ag  0.2583  0.2495  0.2183 [4 per cell]  3 Se 2.76, 1 Te 2.81
Te  0.3047  0.0000  0.8927 [2 per cell]  2 Ag 2.81, 3 Dy 3.04-3.08
Se  0.0095  0.2010  0.4817 [4 per cell]  2 Ag 2.76, 3 Dy 2.85-2.97
Se  0.2131  0.5000  0.9166 [2 per cell]  2 Ag 2.76, 3 Dy 2.84-2.93

Properties
ρ   7.33 g cm⁻³
Total moment   0.000 μB per atom
Total energy   -75.16 eV/cell

---

# 3
First-principles (GGA-PBE) data for an optimized crystal structure of HoAs, as listed in OQMD.

a b c (Å): 4.0874 4.0977 5.7878
angles (deg): 90.00 90.00 90.00
With the nearest neighbours (Å) after each atom.
Space group Immm (No. 71)
Asymmetric unit:
Ho  0.0000  0.0000  0.0000 [2 per cell]  6 As 2.89
As  0.0000  0.0000  0.5000 [2 per cell]  6 Ho 2.89

Properties
ρ   8.22 g cm⁻³
Total moment   0.000 μB per atom
Total energy   -24.57 eV/cell

---

# 4
First-principles (GGA-PBE) data for an optimized crystal structure of Gd3Er2Hg3, as listed in OQMD.

a b c (Å): 5.5481 7.2943 10.7658
angles (deg): 90.00 90.00 90.00
With the nearest neighbours (Å) after each atom.
Space group Amm2 (No. 38)
Asymmetric unit:
Gd  0.0000  0.0000  0.0000 [2 per cell]  4 Hg 3.21-3.34, 4 Gd 3.37, 2 Er 3.46
Gd  0.5000  0.2443  0.0630 [4 per cell]  4 Hg 3.21-3.30, 4 Er 3.23-3.58, 3 Gd 3.37-3.56
Er  0.0000  0.0000  0.4440 [2 per cell]  6 Hg 3.12-3.38
Er  0.5000  0.0000  0.8077 [2 per cell]  6 Gd 3.23-3.46, 4 Hg 3.29
Hg  0.0000  0.2091  0.7238 [4 per cell]  1 Hg 3.05, 4 Er 3.18-3.38, 4 Gd 3.21-3.34
Hg  0.5000  0.0000  0.3105 [2 per cell]  2 Er 3.12, 4 Gd 3.21-3.30

Properties
ρ   10.73 g cm⁻³
Energy above the lowest structure with this stoichiometry   0.101 eV per atom
Total moment   0.007 μB per atom
Total energy   -50.73 eV/cell
Energy relative to the elements   -17 kJ/mol of atoms

---

# 5
First-principles (GGA-PBE) data for an optimized crystal structure of KNpZn, as listed in OQMD.

a b c (Å): 7.4688 7.4688 7.4688
angles (deg): 90.00 90.00 90.00
With the nearest neighbours (Å) after each atom.
Space group F-43m (No. 216)
Asymmetric unit:
K  0.0000  0.0000  0.0000 [4 per cell]  4 Zn 3.23
Np  0.0000  0.0000  0.5000 [4 per cell]  4 Zn 3.23
Zn  0.2500  0.2500  0.2500 [4 per cell]  4 K 3.23, 4 Np 3.23

Properties
ρ   5.44 g cm⁻³
Energy above the lowest structure with this stoichiometry   0.000 eV per atom
Total moment   1.933 μB per atom
Total energy   -47.83 eV/cell

---

# 6
First-principles (GGA-PBE) data for an optimized crystal structure of CsMg3Au, as listed in OQMD.

a b c (Å): 7.4929 7.4929 9.3568
angles (deg): 90.00 90.00 120.00
With the nearest neighbours (Å) after each atom.
Space group R-3m (No. 166, hexagonal axes)
Asymmetric unit:
Cs  0.0000  0.0000  0.0000 [3 per cell]  12 Mg 3.75-3.80
Mg  0.0000  0.5000  0.0000 [9 per cell]  2 Au 2.67
Au  0.0000  0.0000  0.5000 [3 per cell]  6 Mg 2.67

Properties
ρ   4.41 g cm⁻³
Total energy   -28.22 eV/cell